No. 1
RbCa2YPt | PBE | optimized geometry

## Properties
DOS(E_F)	5.03	states/eV/f.u.
E above lowest polymorph	8.51	eV per formula unit
density	5.0	g/cm3

Unit cell a=5.3084 b=5.3084 c=5.3419 alpha=90.00 beta=90.00 gamma=90.00
With the nearest neighbours (Å) after each atom.
Fractional positions:
Rb (0.0000, 0.0000, 0.0000)  4 Ca 2.65, 2 Y 2.67
Ca (0.0000, 0.5000, 0.0000)  2 Rb 2.65
Ca (0.5000, 0.0000, 0.0000)  2 Rb 2.65
Y (0.0000, 0.0000, 0.5000)  2 Rb 2.67
Pt (0.5000, 0.5000, 0.5000)  4 Y 3.75, 8 Ca 3.77

***

No. 2
SrCu2GeS4 | PBE | optimized geometry

## Properties
formation energy from raw total energies	-755	meV per atom
density	4.0	g/cm3

Unit cell a=8.6705 b=6.3175 c=6.3579 alpha=90.00 beta=90.00 gamma=90.00
With the nearest neighbours (Å) after each atom.
Fractional positions:
Sr (0.0000, 0.2339, 0.0000)  4 S 2.86-3.10
Sr (0.5000, 0.7661, 0.5000)  4 S 2.86-3.10
Cu (0.2504, 0.3129, 0.5019)  4 S 2.32-2.40
Cu (0.2496, 0.6871, 0.0019)  4 S 2.32-2.40
Cu (0.7496, 0.3129, 0.5019)  4 S 2.32-2.40
Cu (0.7504, 0.6871, 0.0019)  4 S 2.32-2.40
Ge (0.0000, 0.8027, 0.4899)  4 S 2.24-2.27
Ge (0.5000, 0.1973, 0.9899)  4 S 2.24-2.27
S (0.0000, 0.1557, 0.5404)  1 Ge 2.25, 2 Cu 2.40
S (0.0000, 0.7631, 0.1353)  1 Ge 2.27, 2 Cu 2.37
S (0.2010, 0.6437, 0.6463)  1 Ge 2.24, 2 Cu 2.32
S (0.2990, 0.3563, 0.1463)  1 Ge 2.24, 2 Cu 2.32
S (0.5000, 0.2369, 0.6353)  1 Ge 2.27, 2 Cu 2.37
S (0.5000, 0.8443, 0.0404)  1 Ge 2.25, 2 Cu 2.40
S (0.7010, 0.3563, 0.1463)  1 Ge 2.24, 2 Cu 2.32
S (0.7990, 0.6437, 0.6463)  1 Ge 2.24, 2 Cu 2.32

***

No. 3
RhBr2 | PBE | optimized geometry

## Properties
DOS(E_F)	0.03	states/eV/f.u.
formation energy from raw total energies	-194	meV per atom
density	5.6	g/cm3

Unit cell a=12.3435 b=3.6689 c=9.0387 alpha=90.00 beta=130.94 gamma=90.00
With the nearest neighbours (Å) after each atom.
Fractional positions:
Rh (0.0842, 0.0000, 0.4431)  5 Br 2.48-2.76
Rh (0.4158, 0.5000, 0.5569)  5 Br 2.48-2.76
Rh (0.5842, 0.5000, 0.4431)  5 Br 2.48-2.76
Rh (0.9158, 0.0000, 0.5569)  5 Br 2.48-2.76
Br (0.0615, 0.5000, 0.7952)  2 Rh 2.48
Br (0.2452, 0.0000, 0.3305)  3 Rh 2.52-2.76
Br (0.2548, 0.5000, 0.6695)  3 Rh 2.52-2.76
Br (0.4385, 0.0000, 0.2048)  2 Rh 2.48
Br (0.5615, 0.0000, 0.7952)  2 Rh 2.48
Br (0.7452, 0.5000, 0.3305)  3 Rh 2.52-2.76
Br (0.7548, 0.0000, 0.6695)  3 Rh 2.52-2.76
Br (0.9385, 0.5000, 0.2048)  2 Rh 2.48

***

> What is the density in the first record?

5.0 g/cm3

***

> What is the density in the first record?

5.0 g/cm3